ZrMn3H: relaxed, GGA-PBE.

Calculated values
ΔE to the lowest computed polymorph = 1.899 eV per atom
SG = No. 221
energy = -5.9212 eV per atom

The structure in extended XYZ format:
```
5
Lattice="4.926 0.000 0.000 0.000 4.926 0.000 0.000 0.000 4.926" Properties=species:S:1:pos:R:3 pbc="T T T"
Zr 0.000 0.000 0.000
Mn 0.000 0.000 2.463
Mn 0.000 2.463 0.000
Mn 2.463 0.000 0.000
H 2.463 2.463 2.463
```